A plane-wave DFT calculation with PBE-GGA was carried out for crystalline K2MgTc at its relaxed geometry. Values from VASP.

Results
Its space group is Imm2, No. 44. Its formation energy from the elements is 370 kJ/mol of formula units.

Geometry as Quantum ESPRESSO input:
```
&SYSTEM
  ibrav = 0, nat = 4, ntyp = 3
/
ATOMIC_SPECIES
K 39.10 K.upf
Mg 24.30 Mg.upf
Tc 98.00 Tc.upf
CELL_PARAMETERS angstrom
-1.619 3.190 6.625
1.619 -3.190 6.625
1.619 3.190 -6.625
ATOMIC_POSITIONS angstrom
K 0.000 0.000 0.000
K 0.000 3.190 2.649
Mg 1.619 0.000 3.869
Tc 0.000 0.000 6.030
```